5
Lattice="-0.8568 -4.6823 1.7745 4.9659 -1.0256 -0.3087 0.6428 1.6826 4.7500" Properties=species:S:1:pos:R:3 comment="CaZr3Hg | Alexandria | PBE-GGA | relaxed" magnetic_moment_mub_per_cell=0.42 e_form_ev_per_fu=7.609 final_energy_ev_per_cell=-20.3 vol_a3_per_fu=131.1 e_above_lowest_polymorph_kj_per_mol_fu=346 pbc="T T T"
Zr 0.3214 0.8413 2.3750
Zr -0.4284 -2.3411 0.8873
Zr 2.4829 -0.5128 -0.1543
Hg 2.3759 -2.0127 3.1079
Ca 0.0000 0.0000 0.0000

4
Lattice="-2.6170 -1.4296 1.4906 0.4470 -2.7411 -1.8441 3.8341 -2.3725 4.4560" Properties=species:S:1:pos:R:3 comment="Li2TaW | Alexandria | PBE-GGA | relaxed" magnetic_moment_mub_per_cell=0.00 e_form_ev_per_fu=1.854 final_energy_ev_per_cell=-26.8 vol_a3_per_fu=70.5 e_above_lowest_polymorph_kj_per_mol_fu=88 pbc="T T T"
W 1.6971 -3.8069 3.0567
Li 3.8137 -2.3599 4.4324
Li -0.1604 -2.6575 0.8979
Ta 2.0648 -1.2777 2.3997

3
Lattice="-2.9987 0.0948 -5.8784 -3.6662 -2.2298 -4.7913 -2.0461 1.6622 0.2865" Properties=species:S:1:pos:R:3 comment="BeReAg | Alexandria | PBE-GGA | relaxed" magnetic_moment_mub_per_cell=0.00 e_form_ev_per_fu=1.004 final_energy_ev_per_cell=-18.0 vol_a3_per_fu=41.7 e_above_lowest_polymorph_kj_per_mol_fu=0 pbc="T T T"
Be -3.5671 0.4117 -3.3215
Re -5.2063 -0.9358 -7.2097
Ag -6.6026 -2.0837 -10.5217

3
Lattice="-0.1033 -2.6656 -1.9146 2.0631 1.4369 -2.1119 3.7245 -1.7255 5.0170" Properties=species:S:1:pos:R:3 comment="BiAsPd | Alexandria | PBE-GGA | relaxed" magnetic_moment_mub_per_cell=0.00 e_form_ev_per_fu=-0.400 final_energy_ev_per_cell=-14.1 vol_a3_per_fu=65.3 e_above_lowest_polymorph_kj_per_mol_fu=33 pbc="T T T"
Pd 2.7592 -1.4992 -0.8772
Bi 0.1519 -0.0756 0.0970
As 2.7732 -1.3793 1.7707

4
Lattice="-3.0749 2.5159 0.7420 -3.4570 -1.4298 1.5295 0.1425 1.3724 6.9448" Properties=species:S:1:pos:R:3 comment="TmNpSe2 | Alexandria | PBE-GGA | relaxed" magnetic_moment_mub_per_cell=4.59 raw_formation_energy_ev_per_atom=-1.383 final_energy_ev_per_cell=-29.9 vol_a3_per_fu=94.6 e_above_lowest_polymorph_kj_per_mol_fu=0 pbc="T T T"
Se -1.5771 0.6234 2.3582
Se -4.8124 1.8350 6.8581
Np 0.0000 0.0000 0.0000
Tm -3.1947 1.2292 4.6081

4
Lattice="5.0599 -0.0265 -0.0064 3.8914 3.2344 -0.0064 2.3666 0.8481 6.7782" Properties=species:S:1:pos:R:3 comment="TeMoPb2 | Alexandria | PBE-GGA | relaxed" magnetic_moment_mub_per_cell=0.00 raw_formation_energy_ev_per_atom=0.258 final_energy_ev_per_cell=-20.4 vol_a3_per_fu=111.7 pbc="T T T"
Pb 8.3146 2.9797 4.8819
Pb 8.2740 2.9652 0.1778
Mo 3.3794 1.2111 2.5649
Te 5.9601 2.1359 2.5108

8
Lattice="-1.9803 -1.9730 -1.8905 2.7250 -1.2529 -1.5469 0.7848 -9.4332 9.0224" Properties=species:S:1:pos:R:3 comment="Y3ZnRh4 | Alexandria | PBE-GGA | relaxed" magnetic_moment_mub_per_cell=0.00 e_form_ev_per_fu=-5.728 final_energy_ev_per_cell=-55.8 vol_a3_per_fu=148.9 pbc="T T T"
Y 0.9743 -8.8484 5.2017
Y 0.5552 -3.8106 0.3832
Y 0.7647 -6.3295 2.7925
Rh 0.0828 -0.9953 0.9519
Rh 0.7020 -8.4379 8.0705
Rh 0.2892 -3.4768 3.3254
Rh 0.4955 -5.9564 5.6971
Zn 0.3723 -1.6129 -1.7187

8
Lattice="-1.1065 2.8914 3.8528 -4.7671 -1.2248 -0.4499 -2.4476 -1.8665 3.8680" Properties=species:S:1:pos:R:3 comment="ScBe2H | Alexandria | PBE-GGA | relaxed" magnetic_moment_mub_per_cell=0.00 final_energy_ev_per_cell=-32.8 vol_a3_per_fu=42.7 e_above_lowest_polymorph_kj_per_mol_fu=0 pbc="T T T"
H -5.0758 -1.1290 2.5598
H -2.9368 0.8333 1.7014
Sc -3.2455 0.9291 4.7111
Sc 0.0000 0.0000 0.0000
Be -4.0065 -0.1474 2.1312
Be -1.6226 0.4641 2.3550
Be -5.2308 -1.0813 4.0645
Be -5.7826 0.3647 5.9911